Record 1
First-principles (GGA-PBE) data for a geometry-optimized SrBi2TeO8 structure, as listed in Alexandria via LeMat-Bulk.

```
SrBi2TeO8
1.0
5.106 0.000 0.000
0.000 7.086 0.000
-0.155 0.000 5.107
Sr Bi Te O
1 2 1 8
Cartesian
0.000 0.000 0.000
2.476 1.793 2.553
2.476 5.293 2.553
0.000 3.543 0.000
0.924 2.106 0.942
0.924 4.981 0.942
1.295 3.543 3.689
1.557 0.000 3.434
3.394 0.000 1.673
3.656 3.543 1.418
4.027 2.106 4.165
4.027 4.981 4.165
```


Record 2
First-principles (GGA-PBE) data for a geometry-optimized SrBiTeO6 structure, as listed in Alexandria via LeMat-Bulk.

```
SrBiTeO6
1.0
5.645 0.000 0.000
-2.822 4.889 0.000
0.000 0.000 10.597
Sr Bi Te O
2 2 2 12
Cartesian
0.000 0.000 0.000
0.000 0.000 5.299
0.000 3.259 2.649
2.822 1.630 7.948
0.000 3.259 7.948
2.822 1.630 2.649
-0.885 1.917 6.812
-1.605 3.164 9.084
0.885 1.917 9.084
-0.720 4.696 6.812
2.102 0.192 1.513
1.218 1.725 3.786
1.605 3.164 6.812
0.720 4.696 9.084
3.542 0.192 3.786
1.938 2.972 1.513
4.427 1.725 1.513
3.707 2.972 3.786
```


Record 3
First-principles (GGA-PBE) data for a geometry-optimized SrTi4Bi4O15 structure, as listed in Alexandria via LeMat-Bulk.

```
SrTi4Bi4O15
1.0
20.594 -2.758 0.000
20.594 2.758 0.000
0.000 0.000 5.577
Sr Ti Bi O
2 8 8 30
Cartesian
20.594 1.408 2.788
20.594 -1.408 0.000
14.414 1.390 0.008
18.630 1.380 0.021
22.557 1.380 0.021
26.774 1.390 0.008
14.414 -1.390 2.796
18.630 -1.380 2.810
22.557 -1.380 2.810
26.774 -1.390 2.796
11.576 1.230 2.296
16.415 1.390 2.537
24.773 1.390 2.537
29.611 1.230 2.296
11.576 -1.230 5.084
16.415 -1.390 5.326
24.773 -1.390 5.326
29.611 -1.230 5.084
1.737 0.134 1.475
1.737 -0.134 4.263
16.681 1.735 0.291
6.076 0.217 4.525
12.675 1.008 0.076
6.076 -0.217 1.736
10.269 0.062 3.852
10.269 -0.062 1.064
24.507 1.735 0.291
20.594 1.104 0.213
15.004 0.119 4.221
15.004 -0.119 1.433
18.396 0.162 1.765
18.396 -0.162 4.553
12.675 -1.008 2.865
28.513 1.008 0.076
22.791 0.162 1.765
22.791 -0.162 4.553
26.184 0.119 4.221
26.184 -0.119 1.433
20.594 -1.104 3.002
16.681 -1.735 3.079
30.918 0.062 3.852
30.918 -0.062 1.064
35.111 0.217 4.525
28.513 -1.008 2.865
35.111 -0.217 1.736
24.507 -1.735 3.079
39.451 0.134 1.475
39.451 -0.134 4.263
```


E_tot, respectively: -5.6595; -5.7830; -7.4531 eV/atom.
D(E_F), respectively: 1.98; 4.39; 0.00 states/eV/f.u..